Here is a relaxed structure of Mn4Mo from the Alexandria database. Energies are from PBE.

Lattice parameters (Å, degrees): 5.645 5.645 5.645 90.00 90.00 90.00
Space group Im-3m (No. 229)
Inequivalent atoms, fractional coordinates:
Mn (0.250, 0.250, 0.250)
Mo (0.000, 0.000, 0.000)

DOS at the Fermi energy   6.08 states/eV/f.u.
Formation energy   114.1 kJ/mol of atoms
V   180 Å³/cell
Total DFT energy (no corrections)   -8.320 eV/atom